No. 1
## BaY2Ni2 (PBE)

Data for an optimized crystal structure of BaY2Ni2.

The calculation puts the magnetization at 0.74 μB per formula unit. The calculation puts the energy of formation at 26 meV per atom. The offset from the most stable computed form is 110 meV/atom.

abc: 5.0345 5.0345 11.4527
angles: 90.00 90.00 90.00
With the nearest neighbours (Å) after each atom.
Space group I4/mmm (No. 139)
Symmetry-distinct sites (fractional):
Ba  0.0000  0.0000  0.0000 (multiplicity 2)  10 Y 3.81-4.04, 8 Ni 3.81
Y  0.0000  0.0000  0.3327 (multiplicity 4)  4 Ni 2.69
Ni  0.0000  0.5000  0.2500 (multiplicity 4)  4 Y 2.69


No. 2
## BaY2Ni (PBE)

Data for an optimized crystal structure of BaY2Ni.

The calculation puts the magnetization at 0.00 μB per formula unit. The calculation puts the energy of formation at -71 meV per atom. The offset from the most stable computed form is 0 meV/atom.

abc: 4.0839 4.0839 28.8104
angles: 90.00 90.00 120.00
With the nearest neighbours (Å) after each atom.
Space group R-3m (No. 166, hexagonal axes)
Symmetry-distinct sites (fractional):
Ba  0.0000  0.0000  0.0000 (multiplicity 3)  6 Ba 4.08, 6 Y 4.15
Y  0.0000  0.0000  0.2146 (multiplicity 6)  3 Ni 2.73
Ni  0.0000  0.0000  0.5000 (multiplicity 3)  6 Y 2.73


No. 3
## BaY2Ni (PBE)

Data for an optimized crystal structure of BaY2Ni.

The calculation puts the magnetization at 0.00 μB per formula unit. The calculation puts the energy of formation at 458 meV per atom. The offset from the most stable computed form is 529 meV/atom.

abc: 4.6121 4.6121 10.7696
angles: 90.00 90.00 90.00
With the nearest neighbours (Å) after each atom.
Space group I-4m2 (No. 119)
Symmetry-distinct sites (fractional):
Ba  0.0000  0.0000  0.0000 (multiplicity 2)  8 Y 3.26-3.54, 4 Ni 3.54
Y  0.0000  0.0000  0.5000 (multiplicity 2)  4 Ba 3.26, 4 Ni 3.54, 4 Y 3.54
Y  0.0000  0.5000  0.2500 (multiplicity 2)  4 Ni 3.26, 4 Ba 3.54, 4 Y 3.54
Ni  0.0000  0.5000  0.7500 (multiplicity 2)  8 Y 3.26-3.54, 4 Ba 3.54


No. 4
## BaYNi2 (PBE)

Data for an optimized crystal structure of BaYNi2.

The calculation puts the magnetization at 0.00 μB per formula unit. The calculation puts the energy of formation at -44 meV per atom. The offset from the most stable computed form is 58 meV/atom.

abc: 3.8623 4.0366 13.6613
angles: 90.00 90.00 90.00
With the nearest neighbours (Å) after each atom.
Space group Imm2 (No. 44)
Symmetry-distinct sites (fractional):
Ba  0.0000  0.0000  0.0000 (multiplicity 2)  6 Ni 3.22-3.58
Y  0.0000  0.5000  0.2465 (multiplicity 2)  6 Ni 2.75-2.84
Ni  0.0000  0.0000  0.3830 (multiplicity 2)  2 Ni 2.36
Ni  0.0000  0.5000  0.7833 (multiplicity 2)  2 Ni 2.36


No. 5
## BaY2Ni (PBE)

Data for an optimized crystal structure of BaY2Ni.

The calculation puts the magnetization at 0.00 μB per formula unit. The calculation puts the energy of formation at 387 meV per atom. The offset from the most stable computed form is 458 meV/atom.

abc: 7.5384 7.5384 7.5384
angles: 90.00 90.00 90.00
With the nearest neighbours (Å) after each atom.
Space group Fm-3m (No. 225)
Symmetry-distinct sites (fractional):
Ba  0.0000  0.0000  0.0000 (multiplicity 4)  8 Y 3.26
Y  0.2500  0.2500  0.2500 (multiplicity 8)  4 Ba 3.26, 4 Ni 3.26
Ni  0.0000  0.0000  0.5000 (multiplicity 4)  8 Y 3.26


No. 6
## Ba2YNi (PBE)

Data for an optimized crystal structure of Ba2YNi.

The calculation puts the magnetization at 0.00 μB per formula unit. The calculation puts the energy of formation at 39 meV per atom. The offset from the most stable computed form is 33 meV/atom.

abc: 3.7378 3.7378 10.3377
angles: 90.00 90.00 90.00
With the nearest neighbours (Å) after each atom.
Space group P4mm (No. 99)
Symmetry-distinct sites (fractional):
Ba  0.0000  0.0000  0.0000 (multiplicity 1)  4 Ba 3.74, 4 Y 4.11
Ba  0.5000  0.5000  0.3657 (multiplicity 1)  1 Y 3.41, 4 Ni 3.45, 4 Ba 3.74
Y  0.5000  0.5000  0.6951 (multiplicity 1)  4 Ni 2.90
Ni  0.0000  0.0000  0.5797 (multiplicity 1)  4 Y 2.90


No. 7
## Ba2YNi (PBE)

Data for an optimized crystal structure of Ba2YNi.

The calculation puts the magnetization at 0.00 μB per formula unit. The calculation puts the energy of formation at 114 meV per atom. The offset from the most stable computed form is 108 meV/atom.

abc: 5.3995 4.3672 7.6597
angles: 90.00 110.19 90.00
With the nearest neighbours (Å) after each atom.
Space group P2/m (No. 10)
Symmetry-distinct sites (fractional):
Ba  0.1451  0.0000  0.2913 (multiplicity 2)  2 Ni 3.03
Y  0.5000  0.5000  0.0000 (multiplicity 1)  2 Ni 2.70
Ni  0.0000  0.5000  0.0000 (multiplicity 1)  2 Y 2.70


No. 8
## BaYNi2 (PBE)

Data for an optimized crystal structure of BaYNi2.

The calculation puts the magnetization at 0.00 μB per formula unit. The calculation puts the energy of formation at 75 meV per atom. The offset from the most stable computed form is 177 meV/atom.

abc: 5.0882 5.0882 3.5086
angles: 90.00 90.00 90.00
With the nearest neighbours (Å) after each atom.
Space group P4/mmm (No. 123)
Symmetry-distinct sites (fractional):
Ba  0.0000  0.0000  0.0000 (multiplicity 1)  8 Ni 3.09
Y  0.5000  0.5000  0.0000 (multiplicity 1)  8 Ni 3.09
Ni  0.0000  0.5000  0.5000 (multiplicity 2)  4 Ba 3.09, 4 Y 3.09


magnetization of number 4 (BaYNi2)?
0.00 μB per formula unit


Number 6 is which compound?
Ba2YNi